A.
This record from Alexandria describes Na5B7C3 after structural relaxation. The functional is PBE.

Cell: 7.692 7.692 10.355 Å, 122.10 122.07 37.87°
Element x y z (fractional)
B1 0.434 0.766 0.250
B2 0.834 0.166 0.250
B3 0.630 0.969 0.750
B4 0.832 0.169 0.750
B5 0.768 0.444 0.750
B6 0.216 0.584 0.751
B7 0.356 0.033 0.750
B8 0.970 0.613 0.750
B9 0.030 0.358 0.250
B10 0.189 0.829 0.750
B11 0.616 0.983 0.249
B12 0.242 0.569 0.250
B13 0.567 0.233 0.750
B14 0.967 0.632 0.249
C1 0.175 0.832 0.251
C2 0.037 0.358 0.749
C3 0.769 0.426 0.251
C4 0.442 0.762 0.750
C5 0.568 0.235 0.250
C6 0.365 0.032 0.249
Na1 0.199 0.201 0.499
Na2 0.204 0.200 0.005
Na3 0.999 0.998 0.495
Na4 0.795 0.801 0.496
Na5 0.600 0.602 0.004
Na6 0.802 0.802 0.005
Na7 0.399 0.402 0.001
Na8 0.997 0.004 0.002
Na9 0.599 0.598 0.497
Na10 0.398 0.398 0.496

Computed properties:
Symmetry: P1, No. 1
Density, Mg/m³: 2.42
Crystal system: triclinic
DOS(E_F), states/eV/cell: 4.0

---

B.
This record from Alexandria describes Na5B7C3 after structural relaxation. The functional is PBE.

Cell: 9.063 9.063 13.402 Å, 113.01 113.01 17.96°
Element x y z (fractional)
Na1 0.403 0.403 0.301
Na2 0.799 0.799 0.602
Na3 0.199 0.199 0.897
Na4 0.000 0.000 0.997
Na5 0.001 0.001 0.501
Na6 0.598 0.598 0.200
Na7 0.601 0.601 0.699
Na8 0.800 0.800 0.099
Na9 0.198 0.198 0.403
Na10 0.400 0.400 0.798
B1 0.559 0.559 0.867
B2 0.169 0.169 0.590
B3 0.239 0.239 0.727
B4 0.778 0.778 0.307
B5 0.234 0.234 0.219
B6 0.629 0.629 0.510
B7 0.964 0.964 0.678
B8 0.370 0.370 0.491
B9 0.035 0.035 0.322
B10 0.627 0.627 0.002
B11 0.427 0.427 0.102
B12 0.967 0.967 0.184
B13 0.834 0.834 0.916
B14 0.170 0.170 0.089
C1 0.432 0.432 0.616
C2 0.838 0.838 0.427
C3 0.027 0.027 0.804
C4 0.566 0.566 0.385
C5 0.770 0.770 0.789
C6 0.366 0.366 0.978

Computed properties:
Symmetry: Cm, No. 8
Density, Mg/m³: 2.41
Crystal system: monoclinic
DOS(E_F), states/eV/cell: 10.7

---

The structure shown above that is least stable: A.